# KNa2Np3Se6, optimized geometry, DFT PBE
data_KNa2Np3Se6
_chemical_formula_sum 'K2 Na4 Np6 Se12'
_cell_length_a 18.999
_cell_length_b 4.226
_cell_length_c 8.739
_cell_angle_alpha 90.00
_cell_angle_beta 105.61
_cell_angle_gamma 90.00
_space_group_name_H-M_alt 'C 1 2/m 1'
_space_group_IT_number 12
loop_
_space_group_symop_operation_xyz
'x,y,z'
'-x,-y,-z'
'-x,y,-z'
'x,-y,z'
'x+1/2,y+1/2,z'
'-x+1/2,-y+1/2,-z'
'-x+1/2,y+1/2,-z'
'x+1/2,-y+1/2,z'
loop_
_atom_site_label
_atom_site_type_symbol
_atom_site_fract_x
_atom_site_fract_y
_atom_site_fract_z
K1 K 0.000 0.000 0.000
Na1 Na 0.169 0.500 0.335
Np1 Np 0.000 0.000 0.500
Np2 Np 0.168 0.500 0.831
Se1 Se 0.007 0.500 0.729
Se2 Se 0.163 0.000 0.595
Se3 Se 0.174 0.000 0.067
# E_form (uncorrected) ... -14.27 eV/f.u.
# Total DFT energy (no corrections) ... -77.73 eV/f.u.



# BaHgIr2, optimized geometry, DFT PBE
data_BaHgIr2
_chemical_formula_sum 'Ba2 Hg2 Ir4'
_cell_length_a 6.218
_cell_length_b 9.980
_cell_length_c 3.082
_cell_angle_alpha 90.00
_cell_angle_beta 118.01
_cell_angle_gamma 90.00
_space_group_name_H-M_alt 'C 1 2/m 1'
_space_group_IT_number 12
loop_
_space_group_symop_operation_xyz
'x,y,z'
'-x,-y,-z'
'-x,y,-z'
'x,-y,z'
'x+1/2,y+1/2,z'
'-x+1/2,-y+1/2,-z'
'-x+1/2,y+1/2,-z'
'x+1/2,-y+1/2,z'
loop_
_atom_site_label
_atom_site_type_symbol
_atom_site_fract_x
_atom_site_fract_y
_atom_site_fract_z
Ba1 Ba 0.000 0.000 0.000
Hg1 Hg 0.000 0.500 0.000
Ir1 Ir 0.250 0.250 0.500
# Energy of formation from the pure elements ... 692 meV/atom
# Total DFT energy (no corrections) ... -17.18 eV/f.u.



# PrHfTh2, optimized geometry, DFT PBE
data_PrHfTh2
_chemical_formula_sum 'Pr1 Hf1 Th2'
_cell_length_a 4.952
_cell_length_b 4.952
_cell_length_c 4.942
_cell_angle_alpha 90.00
_cell_angle_beta 90.00
_cell_angle_gamma 90.00
_space_group_name_H-M_alt 'P 4/m m m'
_space_group_IT_number 123
_space_group_name_Hall '-P 4 2'
loop_
_atom_site_label
_atom_site_type_symbol
_atom_site_fract_x
_atom_site_fract_y
_atom_site_fract_z
Pr1 Pr 0.000 0.000 0.000
Hf1 Hf 0.500 0.500 0.000
Th1 Th 0.000 0.500 0.500
# Energy of formation from the pure elements ... 196 meV/atom
# Total DFT energy (no corrections) ... -28.79 eV/f.u.
# Offset from the most stable computed form ... 64 meV/atom



# Tb2Nb2S7O30, optimized geometry, DFT PBE
data_Tb2Nb2S7O30
_chemical_formula_sum 'Tb4 Nb4 S14 O60'
_cell_length_a 12.901
_cell_length_b 12.901
_cell_length_c 7.118
_cell_angle_alpha 90.00
_cell_angle_beta 90.00
_cell_angle_gamma 90.00
_space_group_name_H-M_alt 'P -4 21 m'
_space_group_IT_number 113
loop_
_space_group_symop_operation_xyz
'x,y,z'
'y,-x,-z'
'-x,-y,z'
'-y,x,-z'
'x+1/2,-y+1/2,-z'
'y+1/2,x+1/2,z'
'-x+1/2,y+1/2,-z'
'-y+1/2,-x+1/2,z'
loop_
_atom_site_label
_atom_site_type_symbol
_atom_site_fract_x
_atom_site_fract_y
_atom_site_fract_z
Tb1 Tb 0.197 0.303 0.096
Nb1 Nb 0.138 0.638 0.521
S1 S 0.000 0.500 0.157
S2 S 0.066 0.822 0.198
S3 S 0.123 0.377 0.611
O1 O 0.008 0.358 0.636
O2 O 0.041 0.213 0.167
O3 O 0.066 0.566 0.279
O4 O 0.067 0.075 0.774
O5 O 0.067 0.433 0.042
O6 O 0.106 0.769 0.379
O7 O 0.134 0.789 0.043
O8 O 0.156 0.344 0.425
O9 O 0.176 0.324 0.764
O10 O 0.203 0.703 0.709
# E_form (uncorrected) ... -72.04 eV/f.u.
# Total DFT energy (no corrections) ... -279.08 eV/f.u.



# AsPt2Br, optimized geometry, DFT PBE
data_AsPt2Br
_chemical_formula_sum 'As2 Pt4 Br2'
_cell_length_a 3.493
_cell_length_b 6.554
_cell_length_c 7.561
_cell_angle_alpha 90.00
_cell_angle_beta 90.00
_cell_angle_gamma 90.00
_space_group_name_H-M_alt 'C m m m'
_space_group_IT_number 65
_space_group_name_Hall '-C 2 2'
loop_
_atom_site_label
_atom_site_type_symbol
_atom_site_fract_x
_atom_site_fract_y
_atom_site_fract_z
As1 As 0.000 0.000 0.000
Pt1 Pt 0.000 0.500 0.218
Br1 Br 0.000 0.000 0.500
# E_form (uncorrected) ... 1.02 eV/f.u.
# Total DFT energy (no corrections) ... -17.38 eV/f.u.
# Offset from the most stable computed form ... 421 meV/atom



# SbSe2O, optimized geometry, DFT PBE
data_SbSe2O
_chemical_formula_sum 'Sb4 Se8 O4'
_cell_length_a 6.640
_cell_length_b 6.640
_cell_length_c 6.640
_cell_angle_alpha 90.00
_cell_angle_beta 90.00
_cell_angle_gamma 90.00
_space_group_name_H-M_alt 'F m -3 m'
_space_group_IT_number 225
_space_group_name_Hall '-F 4 2 3'
loop_
_atom_site_label
_atom_site_type_symbol
_atom_site_fract_x
_atom_site_fract_y
_atom_site_fract_z
Sb1 Sb 0.000 0.000 0.000
Se1 Se 0.250 0.250 0.250
O1 O 0.000 0.000 0.500
# E_form (uncorrected) ... 2.00 eV/f.u.
# Total DFT energy (no corrections) ... -14.05 eV/f.u.
# Offset from the most stable computed form ... 472 meV/atom